DFT (PBE) results for a relaxed TlAu4Br crystal. Values from VASP.

```
&SYSTEM
  ibrav = 0, nat = 6, ntyp = 3
/
ATOMIC_SPECIES
Tl 204.38 Tl.upf
Au 196.97 Au.upf
Br 79.90 Br.upf
ATOMIC_POSITIONS angstrom
Tl 0.0000 0.0000 0.0000
Au -6.9218 -3.5028 -0.0307
Au -5.2063 -5.7216 -0.5817
Au -6.0613 -4.0135 -2.7080
Au -4.1964 -3.0541 -0.7660
Br -8.3947 -6.1095 -1.5324
CELL_PARAMETERS angstrom
-5.4471 -0.8968 1.4698
-3.7273 -1.9176 -3.8814
-2.0185 -5.3315 0.3684
```

Properties
Symmetry: No. 216
Mass density, g/cm³: 13.5
D(E_F), states/eV/cell: 0.52
E_tot, eV/cell: -17.41